Material: Sr2TbSe3
Method: DFT, PBE
State: optimized geometry

Computed properties:
VASP energy ... -30.1 eV/f.u.
Formation energy without anion corrections ... -1938 meV per atom
DOS(E_F) ... 0.2366 states/eV/atom

a = 7.4738 Å, b = 7.4738 Å, c = 13.5950 Å
α = 100.59°, β = 100.59°, γ = 109.35°
Fractional coordinates of all 24 atoms:
Sr1 0.9984 0.4984 0.9967
Tb1 0.3333 0.8333 0.6667
Se1 0.7664 0.7664 0.0000
Sr2 0.7484 0.7484 0.4967
Se2 0.5866 0.6020 0.6723
Sr3 0.8319 0.3319 0.6638
Se3 0.9296 0.9143 0.3277
Se4 0.4836 0.9836 0.5000
Se5 0.2336 0.2336 0.0000
Se6 0.6634 0.1480 0.8277
Sr4 0.6681 0.1681 0.3362
Se7 0.3980 0.4134 0.3277
Sr5 0.5819 0.5819 0.1638
Tb2 0.9167 0.9167 0.8333
Se8 0.3204 0.8357 0.1723
Sr6 0.4181 0.4181 0.8362
Sr7 0.5016 0.0016 0.0033
Se9 0.1643 0.6796 0.8277
Tb3 0.1667 0.6667 0.3333
Tb4 0.0833 0.0833 0.1667
Se10 0.0164 0.5164 0.5000
Se11 0.8520 0.3366 0.1723
Se12 0.0857 0.0704 0.6723
Sr8 0.2516 0.2516 0.5033